1.
Here is a relaxed SrP2Os crystal from the Alexandria database. Energies are from PBE.

abc: 3.216 3.216 6.959
angles: 90.00 90.00 90.00
Positions (direct):
Sr  0.000  0.000  0.000
P  0.000  0.000  0.499
P  0.500  0.500  0.703
Os  0.500  0.500  0.356

Energy of formation from the pure elements (eV per atom): 0.045
Crystal system: tetragonal
Volume (Å³ per cell): 71.97
Energy above the most stable polymorph in this dataset (eV/f.u.): 2.547

***

2.
Here is a relaxed SrPOs2 crystal from the Alexandria database. Energies are from PBE.

abc: 3.911 3.911 4.713
angles: 90.00 90.00 90.00
Positions (direct):
Sr  0.000  0.000  0.000
P  0.500  0.500  0.000
Os  0.000  0.500  0.500
Os  0.500  0.000  0.500

Energy of formation from the pure elements (eV per atom): 0.913
Crystal system: tetragonal
Volume (Å³ per cell): 72.09

***

3.
Here is a relaxed Sr2POs crystal from the Alexandria database. Energies are from PBE.

abc: 7.031 7.031 7.031
angles: 90.00 90.00 90.00
Positions (direct):
Sr  0.000  0.000  0.000
Sr  0.000  0.500  0.500
Sr  0.250  0.250  0.250
Sr  0.250  0.750  0.750
Sr  0.500  0.000  0.500
Sr  0.500  0.500  0.000
Sr  0.750  0.250  0.750
Sr  0.750  0.750  0.250
P  0.000  0.000  0.500
P  0.000  0.500  0.000
P  0.500  0.000  0.000
P  0.500  0.500  0.500
Os  0.250  0.250  0.750
Os  0.250  0.750  0.250
Os  0.750  0.250  0.250
Os  0.750  0.750  0.750

Energy of formation from the pure elements (eV per atom): 0.493
Crystal system: cubic
Volume (Å³ per cell): 347.51

***

4.
Here is a relaxed SrP2Os crystal from the Alexandria database. Energies are from PBE.

abc: 3.957 3.957 9.380
angles: 90.00 90.00 90.00
Positions (direct):
Sr  0.000  0.000  0.000
Sr  0.500  0.500  0.500
P  0.000  0.000  0.500
P  0.000  0.500  0.250
P  0.500  0.000  0.750
P  0.500  0.500  0.000
Os  0.000  0.500  0.750
Os  0.500  0.000  0.250

Energy of formation from the pure elements (eV per atom): 0.605
Crystal system: tetragonal
Volume (Å³ per cell): 146.85
Energy above the most stable polymorph in this dataset (eV/f.u.): 4.786

***

5.
Here is a relaxed SrPOs2 crystal from the Alexandria database. Energies are from PBE.

abc: 6.561 6.561 6.561
angles: 90.00 90.00 90.00
Positions (direct):
Sr  0.000  0.000  0.000
Sr  0.000  0.500  0.500
Sr  0.500  0.000  0.500
Sr  0.500  0.500  0.000
P  0.250  0.250  0.750
P  0.250  0.750  0.250
P  0.750  0.250  0.250
P  0.750  0.750  0.750
Os  0.000  0.000  0.500
Os  0.000  0.500  0.000
Os  0.250  0.250  0.250
Os  0.250  0.750  0.750
Os  0.500  0.000  0.000
Os  0.500  0.500  0.500
Os  0.750  0.250  0.750
Os  0.750  0.750  0.250

Energy of formation from the pure elements (eV per atom): 0.953
Crystal system: cubic
Volume (Å³ per cell): 282.45

***

6.
Here is a relaxed SrP2Os crystal from the Alexandria database. Energies are from PBE.

abc: 4.159 3.869 11.853
angles: 90.00 90.00 90.00
Positions (direct):
Sr  0.000  0.000  0.000
Sr  0.000  0.500  0.500
P  0.000  0.000  0.700
P  0.000  0.500  0.200
P  0.500  0.000  0.378
P  0.500  0.500  0.878
Os  0.500  0.000  0.775
Os  0.500  0.500  0.275

Energy of formation from the pure elements (eV per atom): -0.437
Crystal system: orthorhombic
Volume (Å³ per cell): 190.68
Energy above the most stable polymorph in this dataset (eV/f.u.): 0.621

***

7.
Here is a relaxed SrP2Os crystal from the Alexandria database. Energies are from PBE.

abc: 6.010 6.010 11.591
angles: 90.00 90.00 90.00
Positions (direct):
Sr  0.000  0.000  0.000
Sr  0.000  0.500  0.250
Sr  0.500  0.000  0.750
Sr  0.500  0.500  0.500
P  0.138  0.250  0.625
P  0.250  0.638  0.875
P  0.250  0.862  0.375
P  0.362  0.250  0.125
P  0.638  0.750  0.125
P  0.750  0.138  0.375
P  0.750  0.362  0.875
P  0.862  0.750  0.625
Os  0.000  0.000  0.500
Os  0.000  0.500  0.750
Os  0.500  0.000  0.250
Os  0.500  0.500  0.000

Energy of formation from the pure elements (eV per atom): -0.382
Crystal system: tetragonal
Volume (Å³ per cell): 418.71
Energy above the most stable polymorph in this dataset (eV/f.u.): 0.839

***

8.
Here is a relaxed Sr2POs crystal from the Alexandria database. Energies are from PBE.

abc: 6.991 8.469 3.226
angles: 90.00 90.00 90.00
Positions (direct):
Sr  0.250  0.250  0.000
Sr  0.250  0.750  0.000
Sr  0.750  0.250  0.000
Sr  0.750  0.750  0.000
P  0.000  0.000  0.500
P  0.500  0.500  0.500
Os  0.000  0.500  0.500
Os  0.500  0.000  0.500

Energy of formation from the pure elements (eV per atom): 0.306
Crystal system: orthorhombic
Volume (Å³ per cell): 191.00

***

9.
Here is a relaxed SrP2Os crystal from the Alexandria database. Energies are from PBE.

abc: 4.021 6.002 7.030
angles: 90.00 90.00 90.00
Positions (direct):
Sr  0.000  0.000  0.000
Sr  0.500  0.500  0.500
P  0.000  0.500  0.168
P  0.000  0.500  0.832
P  0.500  0.000  0.332
P  0.500  0.000  0.668
Os  0.000  0.000  0.500
Os  0.500  0.500  0.000

Energy of formation from the pure elements (eV per atom): -0.293
Crystal system: orthorhombic
Volume (Å³ per cell): 169.67
Energy above the most stable polymorph in this dataset (eV/f.u.): 1.196

***

10.
Here is a relaxed SrPOs3 crystal from the Alexandria database. Energies are from PBE.

abc: 4.507 4.507 4.507
angles: 90.00 90.00 90.00
Positions (direct):
Sr  0.000  0.000  0.000
P  0.500  0.500  0.500
Os  0.000  0.500  0.500
Os  0.500  0.000  0.500
Os  0.500  0.500  0.000

Energy of formation from the pure elements (eV per atom): 0.607
Crystal system: cubic
Volume (Å³ per cell): 91.54
Energy above the most stable polymorph in this dataset (eV/f.u.): 0.000

***

11.
Here is a relaxed SrP2Os crystal from the Alexandria database. Energies are from PBE.

abc: 3.139 3.139 7.071
angles: 90.00 90.00 90.00
Positions (direct):
Sr  0.000  0.000  0.000
P  0.500  0.500  0.310
P  0.500  0.500  0.690
Os  0.000  0.000  0.500

Energy of formation from the pure elements (eV per atom): -0.067
Crystal system: tetragonal
Volume (Å³ per cell): 69.66
Energy above the most stable polymorph in this dataset (eV/f.u.): 2.099

***

12.
Here is a relaxed SrTcP2Os crystal from the Alexandria database. Energies are from PBE.

abc: 4.122 4.122 11.053
angles: 90.00 90.00 90.00
Positions (direct):
Sr  0.000  0.000  0.000
Sr  0.500  0.500  0.500
Tc  0.000  0.500  0.250
Tc  0.500  0.000  0.750
P  0.000  0.000  0.352
P  0.000  0.000  0.648
P  0.500  0.500  0.148
P  0.500  0.500  0.852
Os  0.000  0.500  0.750
Os  0.500  0.000  0.250

Energy of formation from the pure elements (eV per atom): -0.705
Crystal system: tetragonal
Volume (Å³ per cell): 187.85